Record 1
This record from the Alexandria database describes a geometry-optimized Nd3MgRh8 structure. The functional is PBE-GGA.

## Properties
As for the crystal system: trigonal. Its total DFT energy (no corrections) is -81.53 eV/f.u. The value obtained for the density is 9.713 Mg/m³. The total moment comes out at 0.00 Bohr magnetons per cell. As for the density of states at the Fermi level: 0.80 states/eV per atom.

Lattice parameters (Å, degrees): 5.3598 5.3598 9.3262 73.30 73.30 60.00
Fractional coordinates of all 12 atoms:
1 Nd 0.3759 0.3759 0.8724
2 Nd 0.9961 0.9961 0.0118
3 Nd 0.5035 0.5035 0.4894
4 Mg 0.8732 0.8732 0.3804
5 Rh 0.9370 0.4361 0.1908
6 Rh 0.4398 0.9384 0.6834
7 Rh 0.4361 0.4361 0.1908
8 Rh 0.9384 0.9384 0.6834
9 Rh 0.1878 0.1878 0.4364
10 Rh 0.6876 0.6876 0.9371
11 Rh 0.4361 0.9370 0.1908
12 Rh 0.9384 0.4398 0.6834

---

Record 2
This record from the Alexandria database describes a geometry-optimized NdMg9Rh2 structure. The functional is PBE-GGA.

## Properties
As for the crystal system: tetragonal. Its total DFT energy (no corrections) is -36.66 eV/f.u. The value obtained for the density is 3.732 Mg/m³. The total moment comes out at 0.00 Bohr magnetons per cell. As for the density of states at the Fermi level: 0.64 states/eV per atom.

Lattice parameters (Å, degrees): 7.5834 9.0065 9.0065 79.79 65.10 65.10
Fractional coordinates of all 24 atoms:
1 Nd 0.5000 0.0000 0.0000
2 Nd 0.2500 0.5000 0.5000
3 Mg 0.7500 0.5000 0.5000
4 Mg 0.0000 0.0000 0.0000
5 Mg 0.0161 0.9241 0.6800
6 Mg 0.6203 0.0759 0.3200
7 Mg 0.6903 0.1800 0.5759
8 Mg 0.4462 0.8200 0.4241
9 Mg 0.7339 0.8200 0.5759
10 Mg 0.1297 0.1800 0.4241
11 Mg 0.0597 0.9241 0.3200
12 Mg 0.3038 0.0759 0.6800
13 Mg 0.7339 0.5759 0.8200
14 Mg 0.1297 0.4241 0.1800
15 Mg 0.0597 0.3200 0.9241
16 Mg 0.3038 0.6800 0.0759
17 Mg 0.0161 0.6800 0.9241
18 Mg 0.6203 0.3200 0.0759
19 Mg 0.6903 0.5759 0.1800
20 Mg 0.4462 0.4241 0.8200
21 Rh 0.8750 0.2500 0.7500
22 Rh 0.8750 0.7500 0.2500
23 Rh 0.8750 0.2500 0.2500
24 Rh 0.3750 0.7500 0.7500

---

Record 3
This record from the Alexandria database describes a geometry-optimized Nd3MgRh2 structure. The functional is PBE-GGA.

## Properties
As for the crystal system: monoclinic. Its total DFT energy (no corrections) is -33.34 eV/f.u. The value obtained for the density is 6.569 Mg/m³. The total moment comes out at 0.00 Bohr magnetons per cell. As for the density of states at the Fermi level: 0.60 states/eV per atom.

Lattice parameters (Å, degrees): 4.2450 8.3541 10.5865 68.36 78.43 75.28
Fractional coordinates of all 12 atoms:
1 Nd 0.0485 0.1317 0.7714
2 Nd 0.9515 0.8683 0.2286
3 Nd 0.6564 0.6926 0.9947
4 Nd 0.3436 0.3074 0.0053
5 Nd 0.7881 0.8174 0.6064
6 Nd 0.2119 0.1826 0.3936
7 Mg 0.4334 0.4842 0.6490
8 Mg 0.5666 0.5158 0.3510
9 Rh 0.8545 0.4654 0.8255
10 Rh 0.1455 0.5346 0.1745
11 Rh 0.6171 0.1876 0.5781
12 Rh 0.3829 0.8124 0.4219

---

The records above yield ΔH_f (0 K) values of -0.569 -0.237 -0.457 eV per atom, respectively.